ReAsIr after structural relaxation. Source: the Alexandria database, functional GGA-PBE.

The calculation puts the formation energy at 13.0 kJ/mol of atoms. Its density of states at the Fermi level is 9.1 states/eV/cell. The value obtained for the offset from the most stable computed form is 0 meV per atom. The value obtained for the electronic total energy is -8.518 eV/atom. As for the total magnetization: 0.0000 μB per atom.

Cell lengths 12.5839, 2.8967, 5.0203 Å; angles 90.00, 90.00, 90.00 degrees
Last column: nearest neighbours and their distance in Å.
Space group Amm2 (No. 38)
Inequivalent atoms, fractional coordinates:
1 Re 0.0000 0.0000 0.0000  6 Ir 2.66, 6 Re 2.90
2 Re 0.5000 0.0000 0.0032  6 As 2.57-2.58
3 As 0.3445 0.0000 0.6706  3 Re 2.57-2.58, 3 Ir 2.81-2.83
4 Ir 0.1647 0.0000 0.3332  3 Re 2.66, 3 As 2.81-2.83, 6 Ir 2.90

ReAs2Ir after structural relaxation. Source: the Alexandria database, functional GGA-PBE.

The calculation puts the formation energy at 33.4 kJ/mol of atoms. Its density of states at the Fermi level is 6.1 states/eV/cell. The value obtained for the offset from the most stable computed form is 266 meV per atom. The value obtained for the electronic total energy is -7.306 eV/atom. As for the total magnetization: 0.0000 μB per atom.

Cell lengths 2.8290, 4.8986, 10.2487 Å; angles 90.00, 90.00, 90.00 degrees
Last column: nearest neighbours and their distance in Å.
Space group Cmm2 (No. 35)
Inequivalent atoms, fractional coordinates:
1 Re 0.0000 0.0000 0.0000  2 As 2.59, 2 Ir 2.71, 6 Re 2.83
2 As 0.0000 0.0000 0.4383  2 Ir 2.60, 6 As 2.83
3 As 0.0000 0.5000 0.7886  2 Re 2.59, 6 As 2.83
4 Ir 0.0000 0.5000 0.2252  2 As 2.60, 2 Re 2.71, 6 Ir 2.83

ReAs2Ir after structural relaxation. Source: the Alexandria database, functional GGA-PBE.

The calculation puts the formation energy at 7.7 kJ/mol of atoms. Its density of states at the Fermi level is 3.2 states/eV/cell. The value obtained for the offset from the most stable computed form is 0 meV per atom. The value obtained for the electronic total energy is -7.572 eV/atom. As for the total magnetization: 0.0000 μB per atom.

Cell lengths 2.9168, 2.9168, 8.0635 Å; angles 90.00, 90.00, 90.00 degrees
Last column: nearest neighbours and their distance in Å.
Space group P4mm (No. 99)
Inequivalent atoms, fractional coordinates:
1 Re 0.0000 0.0000 0.0000  4 As 2.61, 4 Ir 2.80, 4 Re 2.92
2 As 0.0000 0.0000 0.5590  4 Ir 2.65, 4 As 2.92
3 As 0.5000 0.5000 0.1975  4 Re 2.61, 4 As 2.92
4 Ir 0.5000 0.5000 0.7643  4 As 2.65, 4 Re 2.80, 4 Ir 2.92

Re2AsIr after structural relaxation. Source: the Alexandria database, functional GGA-PBE.

The calculation puts the formation energy at 22.7 kJ/mol of atoms. Its density of states at the Fermi level is 5.5 states/eV/cell. The value obtained for the electronic total energy is -9.367 eV/atom. As for the total magnetization: 0.0000 μB per atom.

Cell lengths 9.3309, 2.8352, 4.5970 Å; angles 90.00, 93.54, 90.00 degrees
Last column: nearest neighbours and their distance in Å.
Space group Cm (No. 8)
Inequivalent atoms, fractional coordinates:
1 Re 0.0000 0.0000 0.0000  1 As 2.55, 4 Ir 2.67-2.79, 4 Re 2.71-2.84
2 Re 0.2251 0.5000 0.2407  4 As 2.69-2.72, 5 Re 2.71-2.86, 3 Ir 2.76-2.78
3 As 0.2352 0.0000 0.7457  1 Ir 2.48, 5 Re 2.55-2.72
4 Ir 0.4577 0.0000 0.4786  1 As 2.48, 4 Re 2.67-2.76

ReAs2Ir after structural relaxation. Source: the Alexandria database, functional GGA-PBE.

The calculation puts the formation energy at 13.1 kJ/mol of atoms. Its density of states at the Fermi level is 11.0 states/eV/cell. The value obtained for the offset from the most stable computed form is 55 meV per atom. The value obtained for the electronic total energy is -7.517 eV/atom. As for the total magnetization: 0.0000 μB per atom.

Cell lengths 2.8981, 2.8981, 30.1784 Å; angles 90.00, 90.00, 120.00 degrees
Last column: nearest neighbours and their distance in Å.
Space group R3m (No. 160, hexagonal axes)
Inequivalent atoms, fractional coordinates:
1 Re 0.0000 0.0000 0.0000  3 As 2.56, 3 Ir 2.81
2 As 0.0000 0.0000 0.5264  3 Ir 2.59
3 As 0.0000 0.0000 0.7307  3 Re 2.56
4 Ir 0.0000 0.0000 0.2584  3 As 2.59, 3 Re 2.81

ReAs2Ir after structural relaxation. Source: the Alexandria database, functional GGA-PBE.

The calculation puts the formation energy at 36.7 kJ/mol of atoms. Its density of states at the Fermi level is 5.7 states/eV/cell. The value obtained for the offset from the most stable computed form is 300 meV per atom. The value obtained for the electronic total energy is -7.272 eV/atom. As for the total magnetization: 0.0000 μB per atom.

Cell lengths 3.0669, 4.2766, 9.6275 Å; angles 90.00, 90.00, 90.00 degrees
Last column: nearest neighbours and their distance in Å.
Space group Imm2 (No. 44)
Inequivalent atoms, fractional coordinates:
1 Re 0.0000 0.0000 0.0000  6 As 2.60-2.63
2 As 0.0000 0.0000 0.5060  4 Re 2.63, 2 Ir 2.66
3 As 0.0000 0.5000 0.2817  2 Re 2.60, 4 Ir 2.63
4 Ir 0.0000 0.5000 0.7803  6 As 2.63-2.66

ReAs2Ir after structural relaxation. Source: the Alexandria database, functional GGA-PBE.

The calculation puts the formation energy at 54.9 kJ/mol of atoms. Its density of states at the Fermi level is 2.9 states/eV/cell. The value obtained for the offset from the most stable computed form is 489 meV per atom. The value obtained for the electronic total energy is -7.083 eV/atom. As for the total magnetization: 0.0000 μB per atom.

Cell lengths 2.8918, 4.1513, 5.3283 Å; angles 90.00, 90.95, 90.00 degrees
Last column: nearest neighbours and their distance in Å.
Space group P2/m (No. 10)
Inequivalent atoms, fractional coordinates:
1 Re 0.0000 0.0000 0.0000  8 As 2.67-2.98, 2 Re 2.89
2 As 0.4035 0.5000 0.2319  2 Ir 2.53, 1 As 2.54, 2 Re 2.67
3 Ir 0.5000 0.0000 0.5000  4 As 2.53

Re3AsIr after structural relaxation. Source: the Alexandria database, functional GGA-PBE.

The calculation puts the formation energy at 174.7 kJ/mol of atoms. Its density of states at the Fermi level is 6.1 states/eV/cell. The value obtained for the offset from the most stable computed form is 0 meV per atom. The value obtained for the electronic total energy is -8.360 eV/atom. As for the total magnetization: 0.0000 μB per atom.

Cell lengths 4.4675, 4.4675, 4.4675 Å; angles 90.00, 90.00, 90.00 degrees
Last column: nearest neighbours and their distance in Å.
Space group Pm-3m (No. 221)
Inequivalent atoms, fractional coordinates:
1 Re 0.0000 0.0000 0.5000  2 As 2.23
2 As 0.0000 0.0000 0.0000  6 Re 2.23
3 Ir 0.5000 0.5000 0.5000  12 Re 3.16

Re2AsIr after structural relaxation. Source: the Alexandria database, functional GGA-PBE.

The calculation puts the formation energy at 45.3 kJ/mol of atoms. Its density of states at the Fermi level is 8.3 states/eV/cell. The value obtained for the electronic total energy is -9.132 eV/atom. As for the total magnetization: 0.0000 μB per atom.

Cell lengths 2.8251, 4.7463, 9.3772 Å; angles 90.00, 90.00, 90.00 degrees
Last column: nearest neighbours and their distance in Å.
Space group Cmm2 (No. 35)
Inequivalent atoms, fractional coordinates:
1 Re 0.0000 0.0000 0.0000  8 Re 2.62-2.83, 2 As 2.88
2 Re 0.0000 0.5000 0.2351  8 Re 2.62-2.83, 2 Ir 2.70
3 As 0.0000 0.5000 0.7329  2 Ir 2.75, 6 As 2.76-2.83, 2 Re 2.88
4 Ir 0.0000 0.0000 0.4807  2 Re 2.70, 2 As 2.75, 6 Ir 2.76-2.83

ReAs2Ir after structural relaxation. Source: the Alexandria database, functional GGA-PBE.

The calculation puts the formation energy at 15.0 kJ/mol of atoms. Its density of states at the Fermi level is 2.6 states/eV/cell. The value obtained for the offset from the most stable computed form is 75 meV per atom. The value obtained for the electronic total energy is -7.497 eV/atom. As for the total magnetization: 0.0000 μB per atom.

Cell lengths 8.3306, 3.3253, 4.8997 Å; angles 90.00, 104.40, 90.00 degrees
Last column: nearest neighbours and their distance in Å.
Space group Cm (No. 8)
Inequivalent atoms, fractional coordinates:
1 Re 0.0000 0.0000 0.0000  5 As 2.38-2.59
2 As 0.2109 0.5000 0.9788  3 Re 2.38-2.44, 2 Ir 2.56
3 As 0.4799 0.0000 0.3963  3 Ir 2.57-2.58, 2 Re 2.59
4 Ir 0.2184 0.0000 0.5851  5 As 2.56-2.58

ReAsIr after structural relaxation. Source: the Alexandria database, functional GGA-PBE.

The calculation puts the formation energy at 17.9 kJ/mol of atoms. Its density of states at the Fermi level is 1.5 states/eV/cell. The value obtained for the offset from the most stable computed form is 51 meV per atom. The value obtained for the electronic total energy is -8.467 eV/atom. As for the total magnetization: 0.0000 μB per atom.

Cell lengths 2.8845, 2.8845, 6.2824 Å; angles 90.00, 90.00, 120.00 degrees
Last column: nearest neighbours and their distance in Å.
Space group P3m1 (No. 156)
Inequivalent atoms, fractional coordinates:
1 Re 0.0000 0.0000 0.0000  3 As 2.61, 3 Ir 2.69, 6 Re 2.88
2 As 0.6667 0.3333 0.3198  3 Re 2.61, 3 Ir 2.72, 6 As 2.88
3 Ir 0.3333 0.6667 0.6630  3 Re 2.69, 3 As 2.72, 6 Ir 2.88

Re2AsIr after structural relaxation. Source: the Alexandria database, functional GGA-PBE.

The calculation puts the formation energy at 88.1 kJ/mol of atoms. Its density of states at the Fermi level is 5.3 states/eV/cell. The value obtained for the electronic total energy is -8.688 eV/atom. As for the total magnetization: 0.0000 μB per atom.

Cell lengths 5.6468, 5.6468, 10.9479 Å; angles 90.00, 90.00, 90.00 degrees
Last column: nearest neighbours and their distance in Å.
Space group I-42d (No. 122)
Inequivalent atoms, fractional coordinates:
1 Re 0.2432 0.2500 0.1250  2 Ir 2.40, 2 As 2.44
2 As 0.0000 0.0000 0.5000  4 Re 2.44
3 Ir 0.0000 0.0000 0.0000  4 Re 2.40